1.
Entry from Alexandria via LeMat-Bulk: an optimized crystal structure of Y2TiCuTc (PBE).

Results
ΔH_f (0 K)   468 meV/atom
Symmetry   P4/mmm
Spin magnetization   0.2 μB per formula unit

a = 5.4001 Å, b = 4.5584 Å, c = 5.4001 Å
α = 90.00°, β = 90.00°, γ = 90.00°
With the nearest neighbours (Å) after each atom.
Fractional positions:
Y1 0.0000 0.0000 0.5000  2 Tc 2.70
Y2 0.5000 0.0000 0.0000  2 Tc 2.70
Cu1 0.5000 0.5000 0.5000  8 Y 3.53, 4 Ti 3.82
Tc1 0.0000 0.0000 0.0000  2 Ti 2.28
Ti1 0.0000 0.5000 0.0000  2 Tc 2.28

2.
Entry from Alexandria via LeMat-Bulk: an optimized crystal structure of UAlRu5 (PBE).

Results
ΔH_f (0 K)   -32 meV/atom
Symmetry   P4/mmm
Spin magnetization   0.0 μB per formula unit

a = 4.1798 Å, b = 4.1798 Å, c = 6.3920 Å
α = 90.00°, β = 90.00°, γ = 90.00°
With the nearest neighbours (Å) after each atom.
Fractional positions:
Ru1 0.5000 0.5000 0.5000  8 Ru 2.74, 4 U 2.96
Ru2 0.5000 0.0000 0.7779  2 Al 2.53, 2 Ru 2.74, 2 U 2.74
Ru3 0.0000 0.5000 0.7779  2 Al 2.53, 2 U 2.74, 2 Ru 2.74
Ru4 0.0000 0.5000 0.2221  2 Al 2.53, 2 U 2.74, 2 Ru 2.74
Ru5 0.5000 0.0000 0.2221  2 Al 2.53, 2 Ru 2.74, 2 U 2.74
U1 0.0000 0.0000 0.5000  12 Ru 2.74-2.96
Al1 0.5000 0.5000 0.0000  8 Ru 2.53

3.
Entry from Alexandria via LeMat-Bulk: an optimized crystal structure of Sm6Co2PtBr3 (PBE).

Results
Symmetry   C2/m
Spin magnetization   0.0 μB per formula unit
DFT total energy   -5.378 eV/atom

a = 6.9885 Å, b = 6.9885 Å, c = 8.0333 Å
α = 98.31°, β = 98.31°, γ = 120.01°
With the nearest neighbours (Å) after each atom.
Fractional positions:
Sm1 0.7133 0.7133 0.1921  2 Co 2.71, 1 Pt 2.86
Sm2 0.0642 0.4143 0.1927  2 Co 2.71, 1 Pt 2.86
Sm3 0.5857 0.9358 0.8073  2 Co 2.71, 1 Pt 2.86
Sm4 0.2867 0.2867 0.8079  2 Co 2.71, 1 Pt 2.86
Sm5 0.9358 0.5857 0.8073  2 Co 2.71, 1 Pt 2.86
Sm6 0.4143 0.0642 0.1927  2 Co 2.71, 1 Pt 2.86
Co1 0.6667 0.3333 0.0000  6 Sm 2.71
Co2 0.3333 0.6667 0.0000  6 Sm 2.71
Pt1 0.0000 0.0000 0.0000  6 Sm 2.86
Br1 0.1679 0.8321 0.5000  6 Sm 3.23-3.38
Br2 0.5000 0.5000 0.5000  6 Sm 3.24-3.36
Br3 0.8321 0.1679 0.5000  6 Sm 3.23-3.38

4.
Entry from Alexandria via LeMat-Bulk: an optimized crystal structure of YCoSn2 (PBE).

Results
ΔH_f (0 K)   94 meV/atom
Symmetry   I-42d
Spin magnetization   1.2 μB per formula unit

a = 4.7681 Å, b = 4.7681 Å, c = 9.6305 Å
α = 75.67°, β = 75.67°, γ = 90.00°
With the nearest neighbours (Å) after each atom.
Fractional positions:
Y1 0.7500 0.2500 0.5000  4 Sn 3.02, 4 Co 3.37
Y2 0.0000 0.0000 0.0000  4 Sn 3.02, 4 Co 3.37
Co1 0.5000 0.5000 0.0000  4 Sn 2.66
Co2 0.2500 0.7500 0.5000  4 Sn 2.66
Sn1 0.5357 0.1250 0.2500  2 Co 2.66, 2 Sn 2.83
Sn2 0.2143 0.6250 0.2500  2 Co 2.66, 2 Sn 2.83
Sn3 0.3750 0.4643 0.7500  2 Co 2.66, 2 Sn 2.83
Sn4 0.8750 0.7857 0.7500  2 Co 2.66, 2 Sn 2.83

5.
Entry from Alexandria via LeMat-Bulk: an optimized crystal structure of HfPI2O (PBE).

Results
Symmetry   P4/mmm
Spin magnetization   1.1 μB per formula unit
E above lowest polymorph   658 meV/atom

a = 5.6600 Å, b = 5.6600 Å, c = 3.4910 Å
α = 90.00°, β = 90.00°, γ = 90.00°
With the nearest neighbours (Å) after each atom.
Fractional positions:
I1 0.0000 0.5000 0.0000  2 P 2.83
I2 0.5000 0.0000 0.0000  2 P 2.83
Hf1 0.5000 0.5000 0.5000  8 I 3.33, 2 Hf 3.49
O1 0.0000 0.0000 0.5000  2 P 1.75
P1 0.0000 0.0000 0.0000  2 O 1.75

6.
Entry from Alexandria via LeMat-Bulk: an optimized crystal structure of LiAsSe2S (PBE).

Results
Symmetry   P4/mmm
Spin magnetization   1.2 μB per formula unit
E above lowest polymorph   0 meV/atom

a = 4.9654 Å, b = 4.9654 Å, c = 4.8564 Å
α = 90.00°, β = 90.00°, γ = 90.00°
With the nearest neighbours (Å) after each atom.
Fractional positions:
Se1 0.5000 0.0000 0.0000  2 S 2.48
Se2 0.0000 0.5000 0.0000  2 S 2.48
S1 0.0000 0.0000 0.0000  2 As 2.43, 4 Se 2.48
As1 0.0000 0.0000 0.5000  2 S 2.43
Li1 0.5000 0.5000 0.5000  8 Se 3.47, 4 As 3.51

7.
Entry from Alexandria via LeMat-Bulk: an optimized crystal structure of Pm6NiHg5 (PBE).

Results
ΔH_f (0 K)   -422 meV/atom
Symmetry   C2/m
Spin magnetization   0.0 μB per formula unit

a = 5.3117 Å, b = 7.5792 Å, c = 9.1786 Å
α = 65.61°, β = 73.29°, γ = 90.00°
With the nearest neighbours (Å) after each atom.
Fractional positions:
Pm1 0.1572 0.9210 0.6861  1 Ni 3.07, 7 Hg 3.19-3.33
Pm2 0.1572 0.3929 0.6861  1 Ni 3.07, 7 Hg 3.19-3.33
Pm3 0.8428 0.0790 0.3139  1 Ni 3.07, 7 Hg 3.19-3.33
Pm4 0.8428 0.6071 0.3139  1 Ni 3.07, 7 Hg 3.19-3.33
Pm5 0.5000 0.2284 0.0000  2 Ni 3.17, 6 Hg 3.35-3.36, 1 Pm 3.46
Pm6 0.5000 0.7716 0.0000  2 Ni 3.17, 6 Hg 3.35-3.36, 1 Pm 3.46
Hg1 0.6670 0.6669 0.6662  8 Pm 3.32-3.35, 2 Hg 3.58
Hg2 0.6822 0.1817 0.6367  8 Pm 3.22-3.36, 2 Hg 3.58
Hg3 0.3330 0.3331 0.3338  8 Pm 3.32-3.35, 2 Hg 3.58
Hg4 0.3178 0.8183 0.3633  8 Pm 3.22-3.36, 2 Hg 3.58
Hg5 0.0000 0.5000 0.0000  8 Pm 3.19-3.36
Ni1 0.0000 0.0000 0.0000  8 Pm 3.07-3.17

8.
Entry from Alexandria via LeMat-Bulk: an optimized crystal structure of Ce4IrPt3 (PBE).

Results
ΔH_f (0 K)   -1020 meV/atom
Symmetry   Pmm2
Spin magnetization   1.9 μB per formula unit

a = 3.8520 Å, b = 4.3439 Å, c = 11.0690 Å
α = 90.00°, β = 90.00°, γ = 90.00°
With the nearest neighbours (Å) after each atom.
Fractional positions:
Ce1 0.0000 0.5000 0.8676  5 Pt 2.93-3.01, 2 Ir 3.20
Ce2 0.0000 0.0000 0.1358  4 Ir 2.93, 3 Pt 3.00-3.19
Ce3 0.5000 0.0000 0.6352  7 Pt 2.94-3.18
Ce4 0.5000 0.5000 0.3557  1 Ir 2.85, 4 Pt 2.96
Pt1 0.5000 0.0000 0.9055  7 Ce 2.93-3.19, 2 Ir 3.04
Pt2 0.0000 0.0000 0.4066  7 Ce 2.96-3.18, 2 Pt 3.02
Pt3 0.0000 0.5000 0.5956  7 Ce 2.94-3.28, 2 Pt 3.02
Ir1 0.5000 0.5000 0.0981  5 Ce 2.85-2.93, 2 Pt 3.04

9.
Entry from Alexandria via LeMat-Bulk: an optimized crystal structure of Mg3Cd2In5 (PBE).

Results
ΔH_f (0 K)   37 meV/atom
Symmetry   C2/c
Spin magnetization   0.0 μB per formula unit

a = 10.9725 Å, b = 8.3928 Å, c = 10.3469 Å
α = 129.67°, β = 135.09°, γ = 63.96°
With the nearest neighbours (Å) after each atom.
Fractional positions:
In1 0.5427 0.7927 0.5854  2 Cd 2.99, 3 In 3.00-3.16, 2 Mg 3.10
In2 0.3027 0.5527 0.1054  6 In 3.00-3.27, 2 Cd 3.09
In3 0.1112 0.3836 0.1343  3 Mg 3.10-3.43, 5 In 3.16-3.30, 1 Cd 3.20
In4 0.0575 0.3075 0.6150  5 Mg 3.03-3.04, 3 In 3.07-3.30
In5 0.4770 0.2493 0.8657  3 Mg 3.10-3.43, 5 In 3.16-3.30, 1 Cd 3.20
In6 0.8888 0.6164 0.8657  3 Mg 3.10-3.43, 5 In 3.16-3.30, 1 Cd 3.20
In7 0.4573 0.2073 0.4146  2 Cd 2.99, 3 In 3.00-3.16, 2 Mg 3.10
In8 0.9425 0.6925 0.3850  5 Mg 3.03-3.04, 3 In 3.07-3.30
In9 0.6973 0.4473 0.8946  6 In 3.00-3.27, 2 Cd 3.09
In10 0.5230 0.7507 0.1343  3 Mg 3.10-3.43, 5 In 3.16-3.30, 1 Cd 3.20
Mg1 0.8362 0.1353 0.5791  2 Cd 3.03-3.11, 4 In 3.03-3.13, 1 Mg 3.32
Mg2 0.2428 0.4438 0.5791  2 Cd 3.03-3.11, 4 In 3.03-3.13, 1 Mg 3.32
Mg3 0.8149 0.0649 0.1297  3 In 3.04-3.10, 4 Cd 3.09-3.36, 2 Mg 3.32
Mg4 0.7572 0.5562 0.4209  2 Cd 3.03-3.11, 4 In 3.03-3.13, 1 Mg 3.32
Mg5 0.1638 0.8647 0.4209  2 Cd 3.03-3.11, 4 In 3.03-3.13, 1 Mg 3.32
Mg6 0.1851 0.9351 0.8703  3 In 3.04-3.10, 4 Cd 3.09-3.36, 2 Mg 3.32
Cd1 0.8459 0.0099 0.8030  1 Cd 2.99, 3 In 2.99-3.20, 3 Mg 3.03-3.11
Cd2 0.1541 0.9901 0.1970  1 Cd 2.99, 3 In 2.99-3.20, 3 Mg 3.03-3.11
Cd3 0.4570 0.7931 0.8030  1 Cd 2.99, 3 In 2.99-3.20, 3 Mg 3.03-3.11
Cd4 0.5430 0.2069 0.1970  1 Cd 2.99, 3 In 2.99-3.20, 3 Mg 3.03-3.11

10.
Entry from Alexandria via LeMat-Bulk: an optimized crystal structure of BaBePdPt2 (PBE).

Results
ΔH_f (0 K)   -469 meV/atom
Symmetry   P4/mmm
Spin magnetization   0.0 μB per formula unit

a = 4.4910 Å, b = 4.4910 Å, c = 4.6770 Å
α = 90.00°, β = 90.00°, γ = 90.00°
With the nearest neighbours (Å) after each atom.
Fractional positions:
Ba1 0.5000 0.5000 0.5000  4 Pd 3.18, 8 Pt 3.24
Pt1 0.0000 0.5000 0.0000  2 Be 2.25
Pt2 0.5000 0.0000 0.0000  2 Be 2.25
Be1 0.0000 0.0000 0.0000  4 Pt 2.25, 2 Pd 2.34
Pd1 0.0000 0.0000 0.5000  2 Be 2.34

11.
Entry from Alexandria via LeMat-Bulk: an optimized crystal structure of Hg5HPb (PBE).

Results
Symmetry   C2/c
Spin magnetization   0.0 μB per formula unit
DFT total energy   -1.085 eV/atom

a = 7.7546 Å, b = 7.7546 Å, c = 6.1072 Å
α = 89.94°, β = 89.94°, γ = 104.18°
With the nearest neighbours (Å) after each atom.
Fractional positions:
Hg1 0.1993 0.1991 0.9982  1 H 1.90
Hg2 0.0461 0.5948 0.2500  5 Hg 3.05-3.39, 1 Pb 3.18
Hg3 0.8007 0.8009 0.0018  1 H 1.90
Hg4 0.9539 0.4052 0.7500  5 Hg 3.05-3.39, 1 Pb 3.18
Hg5 0.4052 0.9539 0.2500  5 Hg 3.05-3.39, 1 Pb 3.18
Hg6 0.8009 0.8007 0.5018  1 H 1.90
Hg7 0.7307 0.2693 0.2500  2 Hg 3.05
Hg8 0.5948 0.0461 0.7500  5 Hg 3.05-3.39, 1 Pb 3.18
Hg9 0.1991 0.1993 0.4982  1 H 1.90
Hg10 0.2693 0.7307 0.7500  2 Hg 3.05
Pb1 0.5557 0.4443 0.7500  7 Hg 3.18-3.50, 2 Pb 3.34
Pb2 0.4443 0.5557 0.2500  7 Hg 3.18-3.50, 2 Pb 3.34
H1 0.0000 0.0000 0.5000  2 Hg 1.90
H2 0.0000 0.0000 0.0000  2 Hg 1.90

12.
Entry from Alexandria via LeMat-Bulk: an optimized crystal structure of YMg2Au4 (PBE).

Results
ΔH_f (0 K)   -545 meV/atom
Symmetry   Fmmm
Spin magnetization   0.0 μB per formula unit

a = 4.5950 Å, b = 4.5950 Å, c = 7.8790 Å
α = 107.04°, β = 107.04°, γ = 89.72°
With the nearest neighbours (Å) after each atom.
Fractional positions:
Au1 0.8649 0.3649 0.7298  4 Mg 2.78-2.88, 2 Y 3.01
Au2 0.6351 0.1351 0.2702  4 Mg 2.78-2.88, 2 Y 3.01
Au3 0.1351 0.6351 0.2702  4 Mg 2.78-2.88, 2 Y 3.01
Au4 0.3649 0.8649 0.7298  4 Mg 2.78-2.88, 2 Y 3.01
Y1 0.0000 0.0000 0.0000  8 Au 3.01
Mg1 0.2560 0.2560 0.5120  8 Au 2.78-2.88
Mg2 0.7440 0.7440 0.4880  8 Au 2.78-2.88

Q: Which value of spin magnetization does entry 2 give?
A: 0.0 μB per formula unit

Please write out number 10 again, unchanged.
Entry from Alexandria via LeMat-Bulk: an optimized crystal structure of BaBePdPt2 (PBE).

Results
ΔH_f (0 K)   -469 meV/atom
Symmetry   P4/mmm
Spin magnetization   0.0 μB per formula unit

a = 4.4910 Å, b = 4.4910 Å, c = 4.6770 Å
α = 90.00°, β = 90.00°, γ = 90.00°
With the nearest neighbours (Å) after each atom.
Fractional positions:
Ba1 0.5000 0.5000 0.5000  4 Pd 3.18, 8 Pt 3.24
Pt1 0.0000 0.5000 0.0000  2 Be 2.25
Pt2 0.5000 0.0000 0.0000  2 Be 2.25
Be1 0.0000 0.0000 0.0000  4 Pt 2.25, 2 Pd 2.34
Pd1 0.0000 0.0000 0.5000  2 Be 2.34